[1]
The following is a PBE calculation of an optimized crystal structure of TcPtBr2, from Alexandria via LeMat-Bulk.

Properties
The calculation puts the density of states at the Fermi level at 0.334 states/eV/atom. As for the formation energy without anion corrections: 0.361 eV per atom.

The structure in POSCAR format:
```
TcPtBr2
1.0
2.045 -2.780 0.000
2.045 2.780 0.000
0.000 0.000 8.600
Tc Pt Br
1 1 2
Direct
0.000 0.000 0.000 Tc
0.500 0.500 0.165 Pt
0.000 0.000 0.366 Br
0.500 0.500 0.785 Br
```

=====

[2]
The following is a PBE calculation of an optimized crystal structure of TcPtBr2, from Alexandria via LeMat-Bulk.

Properties
The calculation puts the density of states at the Fermi level at 0.884 states/eV/atom. As for the formation energy without anion corrections: 0.625 eV per atom.

The structure in POSCAR format:
```
TcPtBr2
1.0
-1.517 2.362 6.101
1.517 -2.362 6.101
1.517 2.362 -6.101
Tc Pt Br
1 1 2
Direct
0.000 0.000 0.000 Tc
0.175 0.675 0.500 Pt
0.523 0.523 0.000 Br
0.823 0.323 0.500 Br
```

=====

[3]
The following is a PBE calculation of an optimized crystal structure of Tc2PtBr, from Alexandria via LeMat-Bulk.

Properties
The calculation puts the density of states at the Fermi level at 0.972 states/eV/atom. As for the formation energy without anion corrections: 1.141 eV per atom.

The structure in POSCAR format:
```
Tc2PtBr
1.0
-2.763 2.763 5.810
2.763 -2.763 5.810
2.763 2.763 -5.810
Tc Pt Br
4 2 2
Direct
0.120 0.625 0.995 Tc
0.375 0.370 0.495 Tc
0.630 0.125 0.005 Tc
0.875 0.880 0.505 Tc
0.250 0.750 0.500 Pt
0.500 0.500 0.000 Pt
0.000 0.000 0.000 Br
0.750 0.250 0.500 Br
```

=====

[4]
The following is a PBE calculation of an optimized crystal structure of Tc2PtBr, from Alexandria via LeMat-Bulk.

Properties
The calculation puts the density of states at the Fermi level at 1.511 states/eV/atom. As for the formation energy without anion corrections: 0.565 eV per atom.

The structure in POSCAR format:
```
Tc2PtBr
1.0
1.457 0.841 8.624
-1.457 0.841 8.624
0.000 -1.682 8.624
Tc Pt Br
2 1 1
Direct
0.249 0.249 0.249 Tc
0.751 0.751 0.751 Tc
0.000 0.000 0.000 Pt
0.500 0.500 0.500 Br
```

=====

[5]
The following is a PBE calculation of an optimized crystal structure of TcPtBr3, from Alexandria via LeMat-Bulk.

Properties
The calculation puts the density of states at the Fermi level at 1.124 states/eV/atom. As for the formation energy without anion corrections: 0.765 eV per atom.

The structure in POSCAR format:
```
TcPtBr3
1.0
5.161 0.000 0.000
0.000 5.161 0.000
0.000 0.000 5.161
Tc Pt Br
1 1 3
Direct
0.000 0.000 0.000 Tc
0.500 0.500 0.500 Pt
0.000 0.500 0.500 Br
0.500 0.000 0.500 Br
0.500 0.500 0.000 Br
```

=====

[6]
The following is a PBE calculation of an optimized crystal structure of TcPtBr2, from Alexandria via LeMat-Bulk.

Properties
The calculation puts the density of states at the Fermi level at 1.149 states/eV/atom. As for the formation energy without anion corrections: 0.983 eV per atom.

The structure in POSCAR format:
```
TcPtBr2
1.0
0.000 3.410 3.410
3.410 0.000 3.410
3.410 3.410 0.000
Tc Pt Br
1 1 2
Direct
0.000 0.000 0.000 Tc
0.750 0.750 0.750 Pt
0.250 0.250 0.250 Br
0.500 0.500 0.500 Br
```